(1)
! ErPaPdPt, relaxed, DFT PBE-GGA; values from VASP
! Size of the total moment ... 0.725 μB per cell
&SYSTEM
  ibrav = 0, nat = 4, ntyp = 4
/
ATOMIC_SPECIES
Pd 106.42 Pd.upf
Er 167.26 Er.upf
Pa 231.04 Pa.upf
Pt 195.08 Pt.upf
ATOMIC_POSITIONS crystal
Pd 0.250 0.250 0.250
Er 0.500 0.500 0.500
Pa 0.000 0.000 0.000
Pt 0.750 0.750 0.750
CELL_PARAMETERS angstrom
4.951 0.000 0.000
2.475 4.288 0.000
2.475 1.429 4.042

(2)
! ErPaRePd, relaxed, DFT PBE-GGA; values from VASP
! Size of the total moment ... 0.000 μB per cell
&SYSTEM
  ibrav = 0, nat = 4, ntyp = 4
/
ATOMIC_SPECIES
Er 167.26 Er.upf
Re 186.21 Re.upf
Pd 106.42 Pd.upf
Pa 231.04 Pa.upf
ATOMIC_POSITIONS crystal
Er 0.750 0.750 0.750
Re 0.500 0.500 0.500
Pd 0.000 0.000 0.000
Pa 0.250 0.250 0.250
CELL_PARAMETERS angstrom
4.893 0.000 0.000
2.447 4.238 0.000
2.447 1.413 3.996

(3)
! ErPaPdRu, relaxed, DFT PBE-GGA; values from VASP
! Size of the total moment ... 0.006 μB per cell
&SYSTEM
  ibrav = 0, nat = 4, ntyp = 4
/
ATOMIC_SPECIES
Pd 106.42 Pd.upf
Pa 231.04 Pa.upf
Ru 101.07 Ru.upf
Er 167.26 Er.upf
ATOMIC_POSITIONS crystal
Pd 0.750 0.750 0.750
Pa 0.000 0.000 0.000
Ru 0.250 0.250 0.250
Er 0.500 0.500 0.500
CELL_PARAMETERS angstrom
-0.717 3.040 3.755
-4.273 2.314 0.487
-3.055 -1.246 3.601

| no. | ΔH_f (0 K) (eV per atom) | uncorrected energy (eV for the cell shown) | N(E_F) (states/eV per cell) |
| --- | --- | --- | --- |
| 1 | -0.780 | -28.41 | 5.96 |
| 2 | -0.286 | -32.84 | 3.98 |
| 3 | -0.487 | -30.47 | 6.52 |